A plane-wave DFT calculation with PBE was carried out for an optimized crystal structure of Th4TeP2C.

Results
- Uncorrected formation energy: -0.688 eV per atom
- DFT total energy: -7.296 eV per atom

CIF file:
```
data_Th4TeP2C
_symmetry_space_group_name_H-M 'I 2 2 2'
_symmetry_Int_Tables_number 23
_cell_length_a 7.4797
_cell_length_b 7.4798
_cell_length_c 7.7206
_cell_angle_alpha 90.00
_cell_angle_beta 90.00
_cell_angle_gamma 90.00
loop_
_symmetry_equiv_pos_as_xyz
'x,y,z'
'-x,-y,z'
'x,-y,-z'
'-x,y,-z'
'x+1/2,y+1/2,z+1/2'
'-x+1/2,-y+1/2,z+1/2'
'x+1/2,-y+1/2,-z+1/2'
'-x+1/2,y+1/2,-z+1/2'
loop_
_atom_site_label
_atom_site_type_symbol
_atom_site_fract_x
_atom_site_fract_y
_atom_site_fract_z
Th1 Th 0.1995 0.1992 0.3494
Te1 Te 0.0000 0.0000 0.0000
P1 P 0.0000 0.5000 0.2510
C1 C 0.0000 0.0000 0.5000
```